[1]
# LiCdPO4, optimized geometry, DFT PBE
data_LiCdPO4
_chemical_formula_sum 'Li2 Cd2 P2 O8'
_cell_length_a 5.2506
_cell_length_b 5.2506
_cell_length_c 6.4567
_cell_angle_alpha 90.00
_cell_angle_beta 90.00
_cell_angle_gamma 112.62
_symmetry_space_group_name_H-M 'P 1'
_symmetry_Int_Tables_number 1
loop_
_symmetry_equiv_pos_as_xyz
'x,y,z'
loop_
_atom_site_label
_atom_site_fract_x
_atom_site_fract_y
_atom_site_fract_z
Li1 0.8405 0.1595 0.2500
Li2 0.1595 0.8405 0.7500
Cd1 0.5000 0.5000 0.5000
Cd2 0.5000 0.5000 0.0000
P1 0.1438 0.8562 0.2500
P2 0.8562 0.1438 0.7500
O1 0.1815 0.2442 0.7500
O2 0.7558 0.8185 0.7500
O3 0.7597 0.2403 0.9496
O4 0.7597 0.2403 0.5504
O5 0.2403 0.7597 0.0504
O6 0.2403 0.7597 0.4496
O7 0.8185 0.7558 0.2500
O8 0.2442 0.1815 0.2500
# * E_form (uncorrected): -2.017 eV/atom
# * total moment: 0.00 μB per formula unit
# * distance to the lowest polymorph of the same formula: 0.19 eV/f.u.

[2]
# CsCa2Ag2, optimized geometry, DFT PBE
data_CsCa2Ag2
_chemical_formula_sum 'Cs1 Ca2 Ag2'
_cell_length_a 5.6986
_cell_length_b 5.6986
_cell_length_c 7.4751
_cell_angle_alpha 67.59
_cell_angle_beta 67.59
_cell_angle_gamma 90.00
_symmetry_space_group_name_H-M 'P 1'
_symmetry_Int_Tables_number 1
loop_
_symmetry_equiv_pos_as_xyz
'x,y,z'
loop_
_atom_site_label
_atom_site_fract_x
_atom_site_fract_y
_atom_site_fract_z
Cs1 0.0000 0.0000 0.0000
Ca1 0.3367 0.3367 0.3266
Ca2 0.6633 0.6633 0.6734
Ag1 0.7500 0.2500 0.5000
Ag2 0.2500 0.7500 0.5000
# * energy of formation from the pure elements: 2.5 kJ/mol of atoms
# * total moment: 0.00 μB per formula unit
# * distance to the lowest polymorph of the same formula: 0.37 eV/f.u.

[3]
# Pa2Ni3Rh3, optimized geometry, DFT PBE
data_Pa2Ni3Rh3
_chemical_formula_sum 'Pa2 Ni3 Rh3'
_cell_length_a 4.0222
_cell_length_b 3.9833
_cell_length_c 7.8090
_cell_angle_alpha 90.00
_cell_angle_beta 90.00
_cell_angle_gamma 90.00
_symmetry_space_group_name_H-M 'P 1'
_symmetry_Int_Tables_number 1
loop_
_symmetry_equiv_pos_as_xyz
'x,y,z'
loop_
_atom_site_label
_atom_site_fract_x
_atom_site_fract_y
_atom_site_fract_z
Pa1 0.0000 0.0000 0.7498
Pa2 0.0000 0.0000 0.2502
Ni1 0.5000 0.5000 0.7572
Ni2 0.5000 0.5000 0.2428
Ni3 0.5000 0.0000 0.0000
Rh1 0.5000 0.0000 0.5000
Rh2 0.0000 0.5000 0.0000
Rh3 0.0000 0.5000 0.5000
# * energy of formation from the pure elements: -71.9 kJ/mol of atoms
# * total moment: 0.00 μB per formula unit

[4]
# BeAuIO2, optimized geometry, DFT PBE
data_BeAuIO2
_chemical_formula_sum 'Be1 Au1 I1 O2'
_cell_length_a 3.6910
_cell_length_b 3.6910
_cell_length_c 6.4493
_cell_angle_alpha 90.00
_cell_angle_beta 90.00
_cell_angle_gamma 90.00
_symmetry_space_group_name_H-M 'P 1'
_symmetry_Int_Tables_number 1
loop_
_symmetry_equiv_pos_as_xyz
'x,y,z'
loop_
_atom_site_label
_atom_site_fract_x
_atom_site_fract_y
_atom_site_fract_z
I1 0.0000 0.0000 0.5000
Be1 0.0000 0.0000 0.0000
Au1 0.5000 0.5000 0.5000
O1 0.0000 0.5000 0.0000
O2 0.5000 0.0000 0.0000
# * E_form (uncorrected): -0.022 eV/atom
# * total moment: 0.00 μB per formula unit
# * distance to the lowest polymorph of the same formula: 0.00 eV/f.u.

[5]
# Rb2Pu3ZrO12, optimized geometry, DFT PBE
data_Rb2Pu3ZrO12
_chemical_formula_sum 'Rb2 Pu3 Zr1 O12'
_cell_length_a 7.6827
_cell_length_b 7.6827
_cell_length_c 7.6827
_cell_angle_alpha 61.70
_cell_angle_beta 61.70
_cell_angle_gamma 61.70
_symmetry_space_group_name_H-M 'P 1'
_symmetry_Int_Tables_number 1
loop_
_symmetry_equiv_pos_as_xyz
'x,y,z'
loop_
_atom_site_label
_atom_site_fract_x
_atom_site_fract_y
_atom_site_fract_z
Rb1 0.6346 0.6346 0.6346
Rb2 0.3654 0.3654 0.3654
Pu1 0.5000 0.0000 0.0000
Pu2 0.0000 0.5000 0.0000
Pu3 0.0000 0.0000 0.5000
Zr1 0.0000 0.0000 0.0000
O1 0.3159 0.3159 0.9379
O2 0.9334 0.9334 0.3210
O3 0.3210 0.9334 0.9334
O4 0.9379 0.3159 0.3159
O5 0.9334 0.3210 0.9334
O6 0.3159 0.9379 0.3159
O7 0.6841 0.6841 0.0621
O8 0.0666 0.0666 0.6790
O9 0.6790 0.0666 0.0666
O10 0.0621 0.6841 0.6841
O11 0.0666 0.6790 0.0666
O12 0.6841 0.0621 0.6841
# * E_form (uncorrected): -2.565 eV/atom
# * total moment: 6.00 μB per formula unit

[6]
# Dy4CuOs, optimized geometry, DFT PBE
data_Dy4CuOs
_chemical_formula_sum 'Dy16 Cu4 Os4'
_cell_length_a 9.4461
_cell_length_b 9.4461
_cell_length_c 9.4461
_cell_angle_alpha 60.00
_cell_angle_beta 60.00
_cell_angle_gamma 60.00
_symmetry_space_group_name_H-M 'P 1'
_symmetry_Int_Tables_number 1
loop_
_symmetry_equiv_pos_as_xyz
'x,y,z'
loop_
_atom_site_label
_atom_site_fract_x
_atom_site_fract_y
_atom_site_fract_z
Dy1 0.3975 0.3975 0.3975
Dy2 0.8074 0.3975 0.3975
Dy3 0.3975 0.8074 0.3975
Dy4 0.3975 0.3975 0.8074
Dy5 0.5568 0.5568 0.9432
Dy6 0.9432 0.9432 0.5568
Dy7 0.5568 0.9432 0.5568
Dy8 0.9432 0.5568 0.9432
Dy9 0.9432 0.5568 0.5568
Dy10 0.5568 0.9432 0.9432
Dy11 0.1903 0.1903 0.8097
Dy12 0.8097 0.8097 0.1903
Dy13 0.1903 0.8097 0.1903
Dy14 0.8097 0.1903 0.8097
Dy15 0.8097 0.1903 0.1903
Dy16 0.1903 0.8097 0.8097
Cu1 0.1722 0.1722 0.1722
Cu2 0.4835 0.1722 0.1722
Cu3 0.1722 0.4835 0.1722
Cu4 0.1722 0.1722 0.4835
Os1 0.6098 0.6098 0.6098
Os2 0.1705 0.6098 0.6098
Os3 0.6098 0.1705 0.6098
Os4 0.6098 0.6098 0.1705
# * energy of formation from the pure elements: -15.7 kJ/mol of atoms
# * total moment: 0.00 μB per formula unit
# * distance to the lowest polymorph of the same formula: 0.00 eV/f.u.

[7]
# NpFeP2Ru, optimized geometry, DFT PBE
data_NpFeP2Ru
_chemical_formula_sum 'Np1 Fe1 P2 Ru1'
_cell_length_a 3.9022
_cell_length_b 3.9022
_cell_length_c 5.6148
_cell_angle_alpha 110.33
_cell_angle_beta 110.33
_cell_angle_gamma 90.00
_symmetry_space_group_name_H-M 'P 1'
_symmetry_Int_Tables_number 1
loop_
_symmetry_equiv_pos_as_xyz
'x,y,z'
loop_
_atom_site_label
_atom_site_fract_x
_atom_site_fract_y
_atom_site_fract_z
Np1 0.0000 0.0000 0.0000
Fe1 0.7500 0.2500 0.5000
P1 0.6254 0.6254 0.2508
P2 0.3746 0.3746 0.7492
Ru1 0.2500 0.7500 0.5000
# * energy of formation from the pure elements: -66.4 kJ/mol of atoms
# * total moment: 3.71 μB per formula unit

[8]
# Pm2YHo, optimized geometry, DFT PBE
data_Pm2YHo
_chemical_formula_sum 'Pm2 Y1 Ho1'
_cell_length_a 3.6031
_cell_length_b 3.6031
_cell_length_c 11.8624
_cell_angle_alpha 81.26
_cell_angle_beta 81.26
_cell_angle_gamma 60.00
_symmetry_space_group_name_H-M 'P 1'
_symmetry_Int_Tables_number 1
loop_
_symmetry_equiv_pos_as_xyz
'x,y,z'
loop_
_atom_site_label
_atom_site_fract_x
_atom_site_fract_y
_atom_site_fract_z
Y1 0.5000 0.5000 0.5000
Ho1 0.0000 0.0000 0.0000
Pm1 0.7495 0.7495 0.7515
Pm2 0.2505 0.2505 0.2485
# * energy of formation from the pure elements: 1.2 kJ/mol of atoms
# * total moment: 0.00 μB per formula unit
# * distance to the lowest polymorph of the same formula: 0.00 eV/f.u.